The following is a DFT calculation (PBE) of a relaxed Cs2CrFeSe4 crystal.

abc: 5.592 7.932 13.242
angles: 85.73 77.81 69.36
Sites, in units of the cell vectors:
Cs1 0.177 0.000 0.645
Cs2 0.573 0.500 0.855
Cs3 0.927 0.500 0.145
Cs4 0.823 0.000 0.355
Se1 0.133 0.320 0.398
Se2 0.281 0.820 0.102
Se3 0.469 0.680 0.398
Se4 0.899 0.820 0.898
Se5 0.617 0.180 0.102
Se6 0.547 0.320 0.602
Se7 0.851 0.680 0.602
Se8 0.203 0.180 0.898
Cr1 0.750 0.500 0.500
Cr2 0.000 0.000 0.000
Fe1 0.500 0.000 0.000
Fe2 0.250 0.500 0.500

Computed properties:
* SG: Fddd (70)
* magnetic moment: 0.486 μB per atom
* ρ: 4.26 g/cm³
* ΔE_f (raw): -6.30 eV per formula unit


The following is a DFT calculation (PBE) of a relaxed Cs3CrGa crystal.

abc: 7.045 7.045 7.045
angles: 90.00 90.00 90.00
Sites, in units of the cell vectors:
Cs1 0.000 0.000 0.500
Cs2 0.000 0.500 0.000
Cs3 0.500 0.000 0.000
Cr1 0.500 0.500 0.500
Ga1 0.000 0.000 0.000

Computed properties:
* SG: Pm-3m (221)
* magnetic moment: 1.050 μB per atom
* ρ: 2.47 g/cm³
* energy above the lowest structure with this stoichiometry: 0.000 eV/atom
* formation energy: 0.756 eV/atom